No. 1
Entry from Alexandria: a relaxed structure of La2MgHgC (PBE-GGA).

Values from the calculation:
spin magnetization: 0.00 μB per atom
crystal system: tetragonal
offset from the most stable computed form: 0 meV per atom

Cell and atoms, written as CIF:
```
data_La2MgHgC
_chemical_formula_sum 'La2 Mg1 Hg1 C1'
_cell_length_a 5.329
_cell_length_b 5.329
_cell_length_c 4.375
_cell_angle_alpha 90.00
_cell_angle_beta 90.00
_cell_angle_gamma 90.00
_space_group_name_H-M_alt 'P 4/m m m'
_space_group_IT_number 123
_space_group_name_Hall '-P 4 2'
loop_
_atom_site_label
_atom_site_type_symbol
_atom_site_fract_x
_atom_site_fract_y
_atom_site_fract_z
_atom_site_occupancy
La1 La 0.000 0.500 0.000 1
Mg1 Mg 0.000 0.000 0.500 1
Hg1 Hg 0.500 0.500 0.500 1
C1 C 0.000 0.000 0.000 1
```

=====

No. 2
Entry from Alexandria: a relaxed structure of La2MgHgC (PBE-GGA).

Values from the calculation:
spin magnetization: 0.15 μB per atom
crystal system: tetragonal
offset from the most stable computed form: 1445 meV per atom

Cell and atoms, written as CIF:
```
data_La2MgHgC
_chemical_formula_sum 'La2 Mg1 Hg1 C1'
_cell_length_a 5.889
_cell_length_b 5.889
_cell_length_c 4.956
_cell_angle_alpha 90.00
_cell_angle_beta 90.00
_cell_angle_gamma 90.00
_space_group_name_H-M_alt 'P 4/m m m'
_space_group_IT_number 123
_space_group_name_Hall '-P 4 2'
loop_
_atom_site_label
_atom_site_type_symbol
_atom_site_fract_x
_atom_site_fract_y
_atom_site_fract_z
_atom_site_occupancy
La1 La 0.000 0.500 0.000 1
Mg1 Mg 0.000 0.000 0.500 1
Hg1 Hg 0.000 0.000 0.000 1
C1 C 0.500 0.500 0.500 1
```

=====

| no. | formation enthalpy at 0 K (meV/atom) |
| --- | --- |
| 1 | -201 |
| 2 | 1244 |